Material: La6Tb2PmDy
Method: DFT, PBE
State: optimized geometry

The value obtained for the energy of formation is 0.19 eV per atom. Its crystal system is monoclinic.

The space group is C2/m (No. 12) and the conventional cell measures 11.439, 7.103 and 9.084 Å, with angles of 90.00, 104.40 and 90.00 degrees. Symmetry generates all atoms from La at (0.134, 0.000, 0.428), La at (0.185, 0.277, 0.805), Tb at (0.085, 0.500, 0.164), Pm at (0.000, 0.500, 0.500) and Dy at (0.000, 0.000, 0.000).

=====

Material: LaTb2Pm3Dy6
Method: DFT, PBE
State: optimized geometry

The value obtained for the energy of formation is 0.02 eV per atom. Its crystal system is monoclinic.

The space group is C2/m (No. 12) and the conventional cell measures 6.226, 10.781 and 11.867 Å, with angles of 90.00, 100.04 and 90.00 degrees. Symmetry generates all atoms from La at (0.000, 0.000, 0.000), Tb at (0.000, 0.333, 0.000), Pm at (0.000, 0.167, 0.500), Pm at (0.000, 0.500, 0.500), Dy at (0.249, 0.333, 0.750) and Dy at (0.249, 0.500, 0.250).